No. 1
# SCAN TaAsP, single point on PBEsol structure
data_TaAsP
_cell_length_a 3.484
_cell_length_b 4.552
_cell_length_c 13.755
_cell_angle_alpha 90.00
_cell_angle_beta 90.00
_cell_angle_gamma 90.00
_symmetry_space_group_name_H-M 'F m m 2'
_symmetry_Int_Tables_number 42
_symmetry_space_group_name_Hall 'F 2 -2'
loop_
_atom_site_label
_atom_site_type_symbol
_atom_site_fract_x
_atom_site_fract_y
_atom_site_fract_z
Ta1 Ta 0.000 0.000 0.000
As1 As 0.000 0.000 0.353
P1 P 0.000 0.000 0.632
# Energy relative to the elements ... -0.094 eV per atom

=====

No. 2
# SCAN CoMo5, single point on PBEsol structure
data_CoMo5
_cell_length_a 10.369
_cell_length_b 2.588
_cell_length_c 6.739
_cell_angle_alpha 90.00
_cell_angle_beta 104.67
_cell_angle_gamma 90.00
_symmetry_space_group_name_H-M 'C 1 m 1'
_symmetry_Int_Tables_number 8
loop_
_symmetry_equiv_pos_as_xyz
'x,y,z'
'x,-y,z'
'x+1/2,y+1/2,z'
'x+1/2,-y+1/2,z'
loop_
_atom_site_label
_atom_site_type_symbol
_atom_site_fract_x
_atom_site_fract_y
_atom_site_fract_z
Co1 Co 0.000 0.000 0.000
Mo1 Mo 0.060 0.000 0.624
Mo2 Mo 0.167 0.500 0.320
Mo3 Mo 0.217 0.500 0.961
Mo4 Mo 0.337 0.000 0.683
Mo5 Mo 0.405 0.000 0.270
# Energy relative to the elements ... 0.396 eV per atom

=====

No. 3
# SCAN YC2S, single point on PBEsol structure
data_YC2S
_cell_length_a 5.526
_cell_length_b 5.526
_cell_length_c 6.240
_cell_angle_alpha 90.00
_cell_angle_beta 90.00
_cell_angle_gamma 90.00
_symmetry_space_group_name_H-M 'I -4 2 d'
_symmetry_Int_Tables_number 122
_symmetry_space_group_name_Hall 'I -4 2bw'
loop_
_atom_site_label
_atom_site_type_symbol
_atom_site_fract_x
_atom_site_fract_y
_atom_site_fract_z
Y1 Y 0.000 0.000 0.000
C1 C 0.143 0.750 0.625
S1 S 0.000 0.000 0.500
# Electronic total energy ... -1.010 Ry/atom

=====

No. 4
# SCAN Si2NiPRh, single point on PBEsol structure
data_Si2NiPRh
_cell_length_a 4.499
_cell_length_b 4.499
_cell_length_c 4.508
_cell_angle_alpha 90.00
_cell_angle_beta 90.00
_cell_angle_gamma 90.00
_symmetry_space_group_name_H-M 'P 4/m m m'
_symmetry_Int_Tables_number 123
_symmetry_space_group_name_Hall '-P 4 2'
loop_
_atom_site_label
_atom_site_type_symbol
_atom_site_fract_x
_atom_site_fract_y
_atom_site_fract_z
Si1 Si 0.000 0.500 0.000
Ni1 Ni 0.000 0.000 0.500
P1 P 0.500 0.500 0.500
Rh1 Rh 0.500 0.500 0.000
# Electronic total energy ... -1.114 Ry/atom

=====

No. 5
# SCAN MgCdPb2, single point on PBEsol structure
data_MgCdPb2
_cell_length_a 4.643
_cell_length_b 4.643
_cell_length_c 9.609
_cell_angle_alpha 90.00
_cell_angle_beta 90.00
_cell_angle_gamma 90.00
_symmetry_space_group_name_H-M 'I -4 m 2'
_symmetry_Int_Tables_number 119
_symmetry_space_group_name_Hall 'I -4 -2'
loop_
_atom_site_label
_atom_site_type_symbol
_atom_site_fract_x
_atom_site_fract_y
_atom_site_fract_z
Mg1 Mg 0.000 0.000 0.000
Cd1 Cd 0.000 0.500 0.750
Pb1 Pb 0.000 0.000 0.500
Pb2 Pb 0.000 0.500 0.250
# Energy relative to the elements ... -0.028 eV per atom

=====

No. 6
# SCAN Hg2BiCl, single point on PBEsol structure
data_Hg2BiCl
_cell_length_a 7.318
_cell_length_b 7.318
_cell_length_c 7.318
_cell_angle_alpha 90.00
_cell_angle_beta 90.00
_cell_angle_gamma 90.00
_symmetry_space_group_name_H-M 'F m -3 m'
_symmetry_Int_Tables_number 225
_symmetry_space_group_name_Hall '-F 4 2 3'
loop_
_atom_site_label
_atom_site_type_symbol
_atom_site_fract_x
_atom_site_fract_y
_atom_site_fract_z
Hg1 Hg 0.250 0.250 0.250
Bi1 Bi 0.000 0.000 0.000
Cl1 Cl 0.000 0.000 0.500
# Electronic total energy ... -4.095 Ry/atom

=====

No. 7
# SCAN TaTeBr2, single point on PBEsol structure
data_TaTeBr2
_cell_length_a 3.212
_cell_length_b 4.642
_cell_length_c 6.886
_cell_angle_alpha 90.00
_cell_angle_beta 95.73
_cell_angle_gamma 90.00
_symmetry_space_group_name_H-M 'P 1 m 1'
_symmetry_Int_Tables_number 6
loop_
_symmetry_equiv_pos_as_xyz
'x,y,z'
'x,-y,z'
loop_
_atom_site_label
_atom_site_type_symbol
_atom_site_fract_x
_atom_site_fract_y
_atom_site_fract_z
Ta1 Ta 0.000 0.000 0.000
Te1 Te 0.874 0.500 0.285
Br1 Br 0.047 0.500 0.851
Br2 Br 0.456 0.000 0.687
# Electronic total energy ... -2.619 Ry/atom

=====

No. 8
# SCAN ScTePb2, single point on PBEsol structure
data_ScTePb2
_cell_length_a 11.867
_cell_length_b 3.627
_cell_length_c 5.430
_cell_angle_alpha 90.00
_cell_angle_beta 114.09
_cell_angle_gamma 90.00
_symmetry_space_group_name_H-M 'C 1 m 1'
_symmetry_Int_Tables_number 8
loop_
_symmetry_equiv_pos_as_xyz
'x,y,z'
'x,-y,z'
'x+1/2,y+1/2,z'
'x+1/2,-y+1/2,z'
loop_
_atom_site_label
_atom_site_type_symbol
_atom_site_fract_x
_atom_site_fract_y
_atom_site_fract_z
Sc1 Sc 0.000 0.000 0.000
Te1 Te 0.302 0.000 0.701
Pb1 Pb 0.029 0.500 0.509
Pb2 Pb 0.255 0.500 0.154
# Electronic total energy ... -3.756 Ry/atom

=====

No. 9
# SCAN ZrMn2Br, single point on PBEsol structure
data_ZrMn2Br
_cell_length_a 3.5442
_cell_length_b 3.5442
_cell_length_c 19.5004
_cell_angle_alpha 90.00
_cell_angle_beta 90.00
_cell_angle_gamma 120.00
_symmetry_space_group_name_H-M 'R 3 m'
_symmetry_Int_Tables_number 160
_symmetry_space_group_name_Hall 'R 3 -2"'
loop_
_atom_site_label
_atom_site_type_symbol
_atom_site_fract_x
_atom_site_fract_y
_atom_site_fract_z
Zr1 Zr 0.0000 0.0000 0.0000
Mn1 Mn 0.0000 0.0000 0.4436
Mn2 Mn 0.0000 0.0000 0.7432
Br1 Br 0.0000 0.0000 0.2294
# Electronic total energy ... -1.589 Ry/atom

=====

No. 10
# SCAN Pr9O16, single point on PBEsol structure
data_Pr9O16
_cell_length_a 6.776
_cell_length_b 6.921
_cell_length_c 9.027
_cell_angle_alpha 74.22
_cell_angle_beta 80.67
_cell_angle_gamma 81.69
_symmetry_space_group_name_H-M 'P -1'
_symmetry_Int_Tables_number 2
loop_
_symmetry_equiv_pos_as_xyz
'x,y,z'
'-x,-y,-z'
loop_
_atom_site_label
_atom_site_type_symbol
_atom_site_fract_x
_atom_site_fract_y
_atom_site_fract_z
Pr1 Pr 0.000 0.000 0.000
Pr2 Pr 0.112 0.521 0.772
Pr3 Pr 0.231 0.126 0.527
Pr4 Pr 0.325 0.695 0.325
Pr5 Pr 0.408 0.240 0.101
O1 O 0.027 0.215 0.743
O2 O 0.069 0.298 0.045
O3 O 0.122 0.806 0.546
O4 O 0.218 0.389 0.298
O5 O 0.332 0.917 0.058
O6 O 0.359 0.423 0.566
O7 O 0.431 0.491 0.856
O8 O 0.473 0.996 0.336
# Electronic total energy ... -1.671 Ry/atom

=====

No. 11
# SCAN Li4CrHg, single point on PBEsol structure
data_Li4CrHg
_cell_length_a 7.187
_cell_length_b 7.187
_cell_length_c 7.187
_cell_angle_alpha 90.00
_cell_angle_beta 90.00
_cell_angle_gamma 90.00
_symmetry_space_group_name_H-M 'F -4 3 m'
_symmetry_Int_Tables_number 216
_symmetry_space_group_name_Hall 'F -4 2 3'
loop_
_atom_site_label
_atom_site_type_symbol
_atom_site_fract_x
_atom_site_fract_y
_atom_site_fract_z
Li1 Li 0.125 0.125 0.125
Cr1 Cr 0.000 0.000 0.500
Hg1 Hg 0.250 0.250 0.750
# Energy relative to the elements ... 0.002 eV per atom

=====

No. 12
# SCAN FeCoMo2, single point on PBEsol structure
data_FeCoMo2
_cell_length_a 9.189
_cell_length_b 2.571
_cell_length_c 4.440
_cell_angle_alpha 90.00
_cell_angle_beta 106.22
_cell_angle_gamma 90.00
_symmetry_space_group_name_H-M 'C 1 m 1'
_symmetry_Int_Tables_number 8
loop_
_symmetry_equiv_pos_as_xyz
'x,y,z'
'x,-y,z'
'x+1/2,y+1/2,z'
'x+1/2,-y+1/2,z'
loop_
_atom_site_label
_atom_site_type_symbol
_atom_site_fract_x
_atom_site_fract_y
_atom_site_fract_z
Fe1 Fe 0.000 0.000 0.000
Co1 Co 0.197 0.500 0.320
Mo1 Mo 0.242 0.000 0.846
Mo2 Mo 0.452 0.000 0.475
# Energy relative to the elements ... 0.298 eV per atom